Record 1
The following is a DFT calculation (SCAN) of a PBEsol-optimized structure of ZrRu2Br.

Output
As for the total moment: 0.00 μB per cell. The raw formation energy is 1.251 eV/f.u. The calculated volume comes out at 17.19 Å³/atom. For the energy relative to the lowest polymorph listed for this composition, the calculation gives 0.001 eV per atom. The density of states at the Fermi level comes out at 3.6 states/eV/cell.

abc: 8.369 8.369 8.369
angles: 21.46 21.46 21.46
Positions (direct):
Zr  0.000  0.000  0.000
Ru  0.252  0.252  0.252
Ru  0.748  0.748  0.748
Br  0.500  0.500  0.500

Record 2
The following is a DFT calculation (SCAN) of a PBEsol-optimized structure of CuTeSeI.

Output
As for the total moment: 0.00 μB per cell. The raw formation energy is -0.564 eV/f.u. The calculated volume comes out at 28.15 Å³/atom.

abc: 8.380 4.687 12.757
angles: 90.00 115.98 90.00
Positions (direct):
Cu  0.200  0.109  0.251
Cu  0.200  0.391  0.751
Cu  0.800  0.609  0.249
Cu  0.800  0.891  0.749
Te  0.285  0.008  0.645
Te  0.285  0.492  0.145
Te  0.715  0.508  0.855
Te  0.715  0.992  0.355
Se  0.426  0.734  0.846
Se  0.426  0.766  0.346
Se  0.574  0.234  0.654
Se  0.574  0.266  0.154
I  0.096  0.149  0.892
I  0.096  0.351  0.392
I  0.904  0.649  0.608
I  0.904  0.851  0.108

Record 3
The following is a DFT calculation (SCAN) of a PBEsol-optimized structure of MnTl2Cl.

Output
As for the total moment: 4.61 μB per cell. The raw formation energy is -0.234 eV/f.u. The calculated volume comes out at 23.57 Å³/atom. The density of states at the Fermi level comes out at 1.9 states/eV/cell.

abc: 5.685 5.685 5.685
angles: 133.75 133.75 67.47
Positions (direct):
Mn  0.000  0.000  0.000
Tl  0.250  0.750  0.500
Tl  0.750  0.250  0.500
Cl  0.500  0.500  0.000

Which formula does entry 2 have?
CuTeSeI

What is the total moment in the third record?
4.61 μB per cell

Which formula does entry 2 have?
CuTeSeI